Record 1
# Sr2As3Rh4Pb

An optimized crystal structure of Sr2As3Rh4Pb (PBE, Alexandria).

Geometry as extended XYZ:
```
10
Lattice="4.334 0.000 0.000 0.000 4.334 0.000 0.000 0.000 10.781" Properties=species:S:1:pos:R:3 pbc="T T T"
Sr 0.000 2.167 2.621
Sr 2.167 0.000 8.160
As 0.000 2.167 9.438
As 2.167 0.000 1.343
As 2.167 2.167 5.391
Rh 0.000 0.000 0.000
Rh 0.000 2.167 7.005
Rh 2.167 0.000 3.776
Rh 2.167 2.167 0.000
Pb 0.000 0.000 5.391
```

Results
SG: No. 115
Formation enthalpy at 0 K: -626 meV/atom
Electronic total energy: -5.67 eV/atom

Record 2
# SrAsRh2Pb

An optimized crystal structure of SrAsRh2Pb (PBE, Alexandria).

Geometry as extended XYZ:
```
5
Lattice="4.725 0.000 0.000 0.000 4.725 0.000 0.000 0.000 5.517" Properties=species:S:1:pos:R:3 pbc="T T T"
Sr 0.000 0.000 0.000
As 2.363 2.363 2.758
Rh 0.000 2.363 2.758
Rh 2.363 0.000 2.758
Pb 2.363 2.363 0.000
```

Results
SG: No. 123
Formation enthalpy at 0 K: -14 meV/atom
Electronic total energy: -4.96 eV/atom

Record 3
# TaAsRh2Pb

An optimized crystal structure of TaAsRh2Pb (PBE, Alexandria).

Geometry as extended XYZ:
```
5
Lattice="4.578 0.000 0.000 0.000 4.578 0.000 0.000 0.000 4.879" Properties=species:S:1:pos:R:3 pbc="T T T"
Ta 0.000 0.000 0.000
As 0.000 0.000 2.440
Rh 0.000 2.289 2.440
Rh 2.289 0.000 2.440
Pb 2.289 2.289 0.000
```

Results
SG: No. 123
Formation enthalpy at 0 K: 424 meV/atom
Electronic total energy: -6.56 eV/atom

Record 4
# TeAs2RhPb

An optimized crystal structure of TeAs2RhPb (PBE, Alexandria).

Geometry as extended XYZ:
```
5
Lattice="5.240 0.000 0.000 0.000 5.240 0.000 0.000 0.000 5.854" Properties=species:S:1:pos:R:3 pbc="T T T"
Te 0.000 0.000 0.000
As 0.000 2.620 0.000
As 2.620 0.000 0.000
Rh 2.620 2.620 2.927
Pb 0.000 0.000 2.927
```

Results
SG: No. 123
ΔE_f (raw): 1.35 eV/atom
Electronic total energy: -3.35 eV/atom

Record 5
# TeAsRhPb2

An optimized crystal structure of TeAsRhPb2 (PBE, Alexandria).

Geometry as extended XYZ:
```
5
Lattice="5.901 0.000 0.000 0.000 5.901 0.000 0.000 0.000 5.136" Properties=species:S:1:pos:R:3 pbc="T T T"
Te 0.000 0.000 0.000
As 0.000 0.000 2.568
Rh 2.951 2.951 2.568
Pb 0.000 2.951 0.000
Pb 2.951 0.000 0.000
```

Results
SG: No. 123
ΔE_f (raw): 1.23 eV/atom
Electronic total energy: -3.28 eV/atom

Record 6
# ThAs2Rh7Pb2

An optimized crystal structure of ThAs2Rh7Pb2 (PBE, Alexandria).

Geometry as extended XYZ:
```
12
Lattice="2.871 -2.855 0.000 2.871 2.855 0.000 -1.703 0.000 14.040" Properties=species:S:1:pos:R:3 pbc="T T T"
Th 0.000 0.000 0.000
As 1.169 0.000 10.537
As 2.870 0.000 3.503
Rh 1.430 1.425 2.177
Rh 1.211 0.000 8.106
Rh 2.608 1.425 11.864
Rh 2.871 0.000 0.000
Rh 1.430 -1.425 2.177
Rh 2.827 0.000 5.935
Rh 2.608 -1.425 11.864
Pb -0.056 0.000 5.488
Pb 4.095 0.000 8.553
```

Results
SG: No. 12
Formation enthalpy at 0 K: -348 meV/atom
Electronic total energy: -6.65 eV/atom

Record 7
# TmAs2Rh7Pb2

An optimized crystal structure of TmAs2Rh7Pb2 (PBE, Alexandria).

Geometry as extended XYZ:
```
12
Lattice="2.829 -2.813 0.000 2.829 2.813 0.000 -1.685 0.000 14.028" Properties=species:S:1:pos:R:3 pbc="T T T"
Tm 0.000 0.000 0.000
As 1.144 0.000 10.568
As 2.830 0.000 3.460
Rh 1.411 1.405 2.085
Rh 1.180 0.000 8.121
Rh 2.563 1.405 11.943
Rh 2.829 0.000 0.000
Rh 1.411 -1.405 2.085
Rh 2.794 0.000 5.907
Rh 2.563 -1.405 11.943
Pb -0.043 0.000 5.472
Pb 4.017 0.000 8.556
```

Results
SG: No. 12
Formation enthalpy at 0 K: -287 meV/atom
Electronic total energy: -6.34 eV/atom

Record 8
# UAs2Rh7Pb2

An optimized crystal structure of UAs2Rh7Pb2 (PBE, Alexandria).

Geometry as extended XYZ:
```
12
Lattice="2.814 -2.806 0.000 2.814 2.806 0.000 -1.756 0.000 14.208" Properties=species:S:1:pos:R:3 pbc="T T T"
U 0.000 0.000 0.000
As 1.056 0.000 10.721
As 2.816 0.000 3.488
Rh 1.404 1.402 2.012
Rh 1.130 0.000 8.262
Rh 2.468 1.402 12.196
Rh 2.814 0.000 0.000
Rh 1.404 -1.402 2.012
Rh 2.742 0.000 5.946
Rh 2.468 -1.402 12.196
Pb -0.065 0.000 5.609
Pb 3.937 0.000 8.599
```

Results
SG: No. 12
Formation enthalpy at 0 K: -363 meV/atom
Electronic total energy: -6.98 eV/atom

Question: Which formula does entry 7 have?
Answer: TmAs2Rh7Pb2